(1)
Density functional theory data (PBE-GGA) for TcPBr2 after structural relaxation.

a = 10.7266 Å, b = 10.7266 Å, c = 10.7266 Å
α = 17.17°, β = 17.17°, γ = 17.17°
Closest atoms and distances in Å follow each position.
Positions (direct):
Br: 0.8905 0.8905 0.8905  3 Tc 2.59
P: 0.0000 0.0000 0.0000  6 P 3.20, 2 Br 3.47
Tc: 0.5000 0.5000 0.5000  6 Br 2.59
Br: 0.1095 0.1095 0.1095  3 Tc 2.59

Raw total energy = -4.04 eV per atom
Energy above the most stable polymorph in this dataset = 912 meV per atom
Density of states at the Fermi level = 4.90 states/eV/cell
Total moment = 0.95 μB per formula unit

(2)
Density functional theory data (PBE-GGA) for YTlSb2Te after structural relaxation.

a = 5.8391 Å, b = 5.8391 Å, c = 5.8952 Å
α = 90.00°, β = 90.00°, γ = 90.00°
Closest atoms and distances in Å follow each position.
Positions (direct):
Sb: 0.0000 0.5000 0.0000  2 Y 2.92
Sb: 0.5000 0.0000 0.0000  2 Y 2.92
Te: 0.0000 0.0000 0.5000  2 Y 2.95
Y: 0.0000 0.0000 0.0000  4 Sb 2.92, 2 Te 2.95
Tl: 0.5000 0.5000 0.5000  4 Te 4.13, 8 Sb 4.15

Raw total energy = -4.08 eV per atom
Energy above the most stable polymorph in this dataset = 0 meV per atom
Density of states at the Fermi level = 5.17 states/eV/cell
Total moment = 0.00 μB per formula unit

(3)
Density functional theory data (PBE-GGA) for Ac3Ge2Cl after structural relaxation.

a = 4.5842 Å, b = 6.3723 Å, c = 7.9254 Å
α = 113.70°, β = 106.81°, γ = 90.00°
Closest atoms and distances in Å follow each position.
Positions (direct):
Ac: 0.8223 0.3223 0.1445  4 Ge 3.19, 2 Cl 3.35
Ac: 0.1777 0.6777 0.8555  4 Ge 3.19, 2 Cl 3.35
Ac: 0.5000 0.0000 0.5000  2 Cl 3.19, 4 Ge 3.19
Ge: 0.1614 0.1614 0.8228  6 Ac 3.19
Ge: 0.8386 0.8386 0.1772  6 Ac 3.19
Cl: 0.5000 0.5000 0.5000  6 Ac 3.19-3.35

Raw total energy = -5.00 eV per atom
Energy above the most stable polymorph in this dataset = 0 meV per atom
Density of states at the Fermi level = 1.96 states/eV/cell
Total moment = 0.00 μB per formula unit

(4)
Density functional theory data (PBE-GGA) for PdI2Br after structural relaxation.

a = 4.0809 Å, b = 9.0927 Å, c = 9.0628 Å
α = 68.52°, β = 90.00°, γ = 90.00°
Closest atoms and distances in Å follow each position.
Positions (direct):
Pd: 0.4225 0.2508 0.0019  4 I 2.66
I: 0.4225 0.7913 0.7989  2 Pd 2.66, 1 Br 2.89
Br: 0.4225 0.7491 0.4983  2 I 2.89
Pd: 0.9225 0.7492 0.9981  4 I 2.66
I: 0.4225 0.7077 0.1971  2 Pd 2.66, 1 Br 2.89
I: 0.9225 0.2923 0.8029  2 Pd 2.66, 1 Br 2.89
I: 0.9225 0.2087 0.2011  2 Pd 2.66, 1 Br 2.89
Br: 0.9225 0.2509 0.5017  2 I 2.89

Raw total energy = -2.56 eV per atom
Energy above the most stable polymorph in this dataset = 67 meV per atom
Density of states at the Fermi level = 3.44 states/eV/cell
Total moment = 0.00 μB per formula unit

(5)
Density functional theory data (PBE-GGA) for Al2Ag2Au after structural relaxation.

a = 6.7947 Å, b = 6.7947 Å, c = 3.8818 Å
α = 90.00°, β = 90.00°, γ = 90.00°
Closest atoms and distances in Å follow each position.
Positions (direct):
Ag: 0.1508 0.6508 0.5000  6 Al 2.76-2.79, 1 Ag 2.90
Al: 0.8549 0.6451 0.0000  2 Au 2.61, 6 Ag 2.76-2.79, 1 Al 2.79
Ag: 0.8492 0.3492 0.5000  6 Al 2.76-2.79, 1 Ag 2.90
Al: 0.3549 0.8549 0.0000  2 Au 2.61, 6 Ag 2.76-2.79, 1 Al 2.79
Au: 0.5000 0.5000 0.0000  4 Al 2.61
Al: 0.1451 0.3549 0.0000  2 Au 2.61, 6 Ag 2.76-2.79, 1 Al 2.79
Al: 0.6451 0.1451 0.0000  2 Au 2.61, 6 Ag 2.76-2.79, 1 Al 2.79
Ag: 0.3492 0.1508 0.5000  6 Al 2.76-2.79, 1 Ag 2.90
Ag: 0.6508 0.8492 0.5000  6 Al 2.76-2.79, 1 Ag 2.90
Au: 0.0000 0.0000 0.0000  4 Al 2.61

Formation enthalpy at 0 K = -0.0717 eV/atom
Raw total energy = -3.36 eV per atom
Energy above the most stable polymorph in this dataset = 0 meV per atom
Density of states at the Fermi level = 3.15 states/eV/cell
Total moment = 0.00 μB per formula unit

(6)
Density functional theory data (PBE-GGA) for FeIrOs after structural relaxation.

a = 2.7001 Å, b = 2.7001 Å, c = 6.4772 Å
α = 90.00°, β = 90.00°, γ = 120.00°
Closest atoms and distances in Å follow each position.
Positions (direct):
Os: 0.3333 0.6667 0.6771  3 Fe 2.59, 6 Os 2.70, 3 Ir 2.76
Ir: 0.6667 0.3333 0.3258  3 Fe 2.64, 6 Ir 2.70, 3 Os 2.76
Fe: 0.0000 0.0000 0.9971  3 Os 2.59, 3 Ir 2.64, 6 Fe 2.70

Formation enthalpy at 0 K = 0.0686 eV/atom
Raw total energy = -9.45 eV per atom
Energy above the most stable polymorph in this dataset = 44 meV per atom
Density of states at the Fermi level = 3.29 states/eV/cell
Total moment = 2.19 μB per formula unit

(7)
Density functional theory data (PBE-GGA) for NbNi2Os after structural relaxation.

a = 3.8309 Å, b = 3.7511 Å, c = 3.7511 Å
α = 90.00°, β = 90.00°, γ = 90.00°
Closest atoms and distances in Å follow each position.
Positions (direct):
Os: 0.5000 0.5000 0.5000  4 Nb 2.65, 8 Ni 2.68
Ni: 0.0000 0.0000 0.5000  4 Ni 2.65, 4 Nb 2.68, 4 Os 2.68
Ni: 0.0000 0.5000 0.0000  4 Ni 2.65, 4 Os 2.68, 4 Nb 2.68
Nb: 0.5000 0.0000 0.0000  4 Os 2.65, 8 Ni 2.68

Formation enthalpy at 0 K = -0.1771 eV/atom
Raw total energy = -8.39 eV per atom
Energy above the most stable polymorph in this dataset = 0 meV per atom
Density of states at the Fermi level = 4.86 states/eV/cell
Total moment = 0.00 μB per formula unit

(8)
Density functional theory data (PBE-GGA) for TiCuS2 after structural relaxation.

a = 5.4282 Å, b = 5.4282 Å, c = 6.5558 Å
α = 65.54°, β = 65.54°, γ = 90.00°
Closest atoms and distances in Å follow each position.
Positions (direct):
S: 0.1178 0.6250 0.2500  2 Cu 2.31, 2 Ti 2.36
S: 0.6322 0.1250 0.2500  2 Cu 2.31, 2 Ti 2.36
S: 0.8750 0.8822 0.7500  2 Cu 2.31, 2 Ti 2.36
Cu: 0.7500 0.2500 0.5000  4 S 2.31
Ti: 0.2500 0.7500 0.5000  4 S 2.36
Ti: 0.5000 0.5000 0.0000  4 S 2.36
Cu: 0.0000 0.0000 0.0000  4 S 2.31
S: 0.3750 0.3678 0.7500  2 Cu 2.31, 2 Ti 2.36

Raw total energy = -5.85 eV per atom
Density of states at the Fermi level = 3.13 states/eV/cell
Total moment = 0.98 μB per formula unit

- Among the records above, which one has the highest raw total energy?
  PdI2Br